Below is a relaxed structure of Sr4Mg2Cd, with properties calculated at the PBE level. Values from VASP.

Density: 3.0 g/cm3
Final energy: -1.590 eV per atom
Crystal system: tetragonal
Formation energy: -0.04 eV per atom
Density of states at the Fermi level: 9.9 states/eV/cell

Geometry as Quantum ESPRESSO input:
```
&SYSTEM
  ibrav = 0, nat = 7, ntyp = 3
/
ATOMIC_SPECIES
Mg 24.30 Mg.upf
Sr 87.62 Sr.upf
Cd 112.41 Cd.upf
CELL_PARAMETERS angstrom
-6.5222 -2.9267 0.6213
4.5244 -4.9143 -2.6211
2.1861 2.2249 6.4623
ATOMIC_POSITIONS crystal
Mg 0.5000 0.0000 0.5000
Sr 0.5000 0.5000 0.5000
Mg 0.5000 0.5000 0.0000
Sr 0.0000 0.0000 0.5000
Cd 0.0000 0.0000 0.0000
Sr 0.0000 0.5000 0.0000
Sr 0.5000 0.0000 0.0000
```



Below is a relaxed structure of Tc2SO, with properties calculated at the PBE level. Values from VASP.

Density: 8.7 g/cm3
Final energy: -7.501 eV per atom
Crystal system: cubic
Excess energy over the best structure of this formula in the dataset: 154 meV/atom
Formation energy without anion corrections: -0.047 eV per atom
Density of states at the Fermi level: 3.3 states/eV/cell

Geometry as Quantum ESPRESSO input:
```
&SYSTEM
  ibrav = 0, nat = 4, ntyp = 3
/
ATOMIC_SPECIES
Tc 98.00 Tc.upf
O 16.00 O.upf
S 32.06 S.upf
CELL_PARAMETERS angstrom
0.0000 2.8544 2.8544
2.8544 0.0000 2.8544
2.8544 2.8544 0.0000
ATOMIC_POSITIONS crystal
Tc 0.7500 0.7500 0.7500
Tc 0.2500 0.2500 0.2500
O 0.0000 0.0000 0.0000
S 0.5000 0.5000 0.5000
```